10
Lattice="5.4145 0.0045 -0.0024 2.7066 4.7986 0.0243 2.7046 1.6176 4.5132" Properties=species:S:1:pos:R:3 comment="YTlCr2O6, optimized geometry, DFT PBE with a Hubbard U" magnetic_moment_mub_per_fu=6.0 dft_energy_ev_per_atom=-7.3527 sg=Cm pbc="T T T"
Y 8.2620 4.8370 3.1514
Tl 2.5974 1.6238 0.8875
Cr 5.4162 3.2330 2.0650
Cr 2.7079 1.5944 4.2775
O 4.7661 1.5682 0.9678
O 4.0628 4.4366 1.2236
O 6.7501 3.5785 0.6152
O 6.0580 4.7904 3.2158
O 6.7645 1.9901 2.8648
O 4.0365 2.8510 3.4679